First-principles (PBE) data for CePr3Se4 after structural relaxation, as listed in Alexandria.

Total moment, μB per cell: 1.3
VASP energy, eV/cell: -48.95
Calculated density, Mg/m³: 6.7
Raw formation energy, meV/atom: -1842.1

a b c (Å): 6.0129 6.0129 7.3653
angles (deg): 114.09 114.09 90.00
Element x y z (fractional)
Ce1 0.0000 0.0000 0.0000
Se1 0.0000 0.5000 0.0000
Pr1 0.5000 0.5000 0.0000
Se2 0.5000 0.0000 0.0000
Se3 0.2477 0.2477 0.4954
Pr2 0.7500 0.2500 0.5000
Pr3 0.2500 0.7500 0.5000
Se4 0.7523 0.7523 0.5046